[1]
## YSeO (PBE-GGA)

Data for a relaxed structure of YSeO.

Summary:
**Magnetization**: 0.000 μB/cell
**Raw total energy**: -7.225 eV/atom
**Space-group type**: C2/m

```
YSeO
1.0
-0.4209 1.5211 -3.4426
3.1286 -1.5886 0.9986
-4.8263 -10.0691 -3.8590
O Se Y
2 2 2
direct
0.8161 0.6322 0.4250 O
0.1839 0.3678 0.5750 O
0.5453 0.0905 0.8143 Se
0.4547 0.9095 0.1857 Se
0.8523 0.7046 0.6275 Y
0.1477 0.2954 0.3725 Y
```

[2]
## Y2SeO (PBE-GGA)

Data for a relaxed structure of Y2SeO.

Summary:
**Magnetization**: 0.790 μB/cell
**Distance to the lowest polymorph of the same formula**: 641 meV/atom
**Raw total energy**: -6.884 eV/atom
**Space-group type**: Fm-3m

```
Y2SeO
1.0
-1.2659 2.6649 3.6744
-3.7698 2.8098 -0.3150
-3.9121 -1.0262 2.4182
O Y Se
1 2 1
direct
0.0000 0.0000 0.0000 O
0.7500 0.7500 0.7500 Y
0.2500 0.2500 0.2500 Y
0.5000 0.5000 0.5000 Se
```

[3]
## Y3SeO3 (PBE-GGA)

Data for a relaxed structure of Y3SeO3.

Summary:
**Magnetization**: 0.000 μB/cell
**Raw total energy**: -8.411 eV/atom
**Space-group type**: R-3

```
Y3SeO3
1.0
-4.6628 3.1680 -3.4894
-5.7533 -3.0088 -1.3420
-6.1052 2.5198 4.1479
Y O Se
6 6 2
direct
0.4267 0.0960 0.7119 Y
0.2346 0.5733 0.2881 Y
0.7654 0.4267 0.7119 Y
0.9040 0.2346 0.2881 Y
0.0960 0.7654 0.7119 Y
0.5733 0.9040 0.2881 Y
0.7915 0.1241 0.6285 O
0.2085 0.8759 0.3715 O
0.1241 0.4559 0.6285 O
0.4559 0.7915 0.6285 O
0.5441 0.2085 0.3715 O
0.8759 0.5441 0.3715 O
0.6667 0.6667 0.9999 Se
0.3333 0.3333 0.0001 Se
```